Entry 1:
{
  "formula": "Mg2OsPb",
  "functional": "GGA-PBEsol",
  "state": "optimized geometry",
  "lattice_angstrom": [[3.018, 0.000, 0.000], [0.000, 4.765, 0.000], [0.000, 0.000, 5.196]],
  "species": ["Mg", "Mg", "Os", "Pb"],
  "frac_coords": [[0.000, 0.000, 0.000], [0.000, 0.500, 0.321], [0.500, 0.500, 0.845], [0.500, 0.000, 0.528]],
  "spacegroup": "Pmm2, No. 25",
  "e_form_ev_per_atom": 0.363,
  "m_tot_mub_per_cell": 0.648
}

=====

Entry 2:
{
  "formula": "LiCa",
  "functional": "GGA-PBEsol",
  "state": "optimized geometry",
  "lattice_angstrom": [[3.806, 0.000, 0.000], [0.000, 3.806, 0.000], [0.000, 0.000, 8.391]],
  "species": ["Li", "Li", "Ca", "Ca"],
  "frac_coords": [[0.250, 0.250, 0.079], [0.750, 0.750, 0.921], [0.250, 0.250, 0.666], [0.750, 0.750, 0.334]],
  "relative_energy_ev_per_atom": 0.000,
  "spacegroup": "P4/nmm, No. 129",
  "e_form_ev_per_atom": 0.010,
  "m_tot_mub_per_cell": 0.001
}

=====

Entry 3:
{
  "formula": "RbSiBiS4",
  "functional": "GGA-PBEsol",
  "state": "optimized geometry",
  "lattice_angstrom": [[6.455, 0.000, 0.000], [0.000, 6.666, 0.000], [-5.447, 0.000, 16.912]],
  "species": ["Rb", "Rb", "Rb", "Rb", "Si", "Si", "Si", "Si", "Bi", "Bi", "Bi", "Bi", "S", "S", "S", "S", "S", "S", "S", "S", "S", "S", "S", "S", "S", "S", "S", "S"],
  "frac_coords": [[0.224, 0.247, 0.466], [0.224, 0.253, 0.966], [0.776, 0.747, 0.034], [0.776, 0.753, 0.534], [0.291, 0.734, 0.339], [0.291, 0.766, 0.839], [0.709, 0.234, 0.161], [0.709, 0.266, 0.661], [0.263, 0.213, 0.724], [0.263, 0.287, 0.224], [0.737, 0.713, 0.776], [0.737, 0.787, 0.276], [0.091, 0.743, 0.413], [0.091, 0.757, 0.913], [0.092, 0.686, 0.219], [0.092, 0.814, 0.719], [0.477, 0.502, 0.638], [0.477, 0.998, 0.138], [0.487, 0.502, 0.853], [0.487, 0.998, 0.353], [0.513, 0.002, 0.647], [0.513, 0.498, 0.147], [0.523, 0.002, 0.862], [0.523, 0.498, 0.362], [0.908, 0.186, 0.281], [0.908, 0.314, 0.781], [0.909, 0.243, 0.087], [0.909, 0.257, 0.587]],
  "raw_formation_energy_ev_per_atom": -0.83,
  "spacegroup": "P2_1/c, No. 14",
  "m_tot_mub_per_cell": 0.000
}

=====

Entry 4:
{
  "formula": "LiBe4Al",
  "functional": "GGA-PBEsol",
  "state": "optimized geometry",
  "lattice_angstrom": [[0.000, 3.092, 3.092], [3.092, 0.000, 3.092], [3.092, 3.092, 0.000]],
  "species": ["Li", "Be", "Be", "Be", "Be", "Al"],
  "frac_coords": [[0.000, 0.000, 0.000], [0.124, 0.625, 0.625], [0.625, 0.124, 0.625], [0.625, 0.625, 0.124], [0.625, 0.625, 0.625], [0.250, 0.250, 0.250]],
  "spacegroup": "F-43m, No. 216",
  "e_form_ev_per_atom": -0.039,
  "m_tot_mub_per_cell": 0.000
}

=====

Entry 5:
{
  "formula": "CaHf3Zr",
  "functional": "GGA-PBEsol",
  "state": "optimized geometry",
  "lattice_angstrom": [[4.899, 0.000, 0.000], [0.000, 4.899, 0.000], [0.000, 0.000, 4.899]],
  "species": ["Ca", "Hf", "Hf", "Hf", "Zr"],
  "frac_coords": [[0.000, 0.000, 0.000], [0.000, 0.000, 0.500], [0.000, 0.500, 0.000], [0.500, 0.000, 0.000], [0.500, 0.500, 0.500]],
  "spacegroup": "Pm-3m, No. 221",
  "e_form_ev_per_atom": 1.628,
  "m_tot_mub_per_cell": 0.000
}

=====

Entry 6:
{
  "formula": "AlCrP2S",
  "functional": "GGA-PBEsol",
  "state": "optimized geometry",
  "lattice_angstrom": [[4.557, 0.000, 0.000], [0.000, 4.557, 0.000], [0.000, 0.000, 4.558]],
  "species": ["Al", "Cr", "P", "P", "S"],
  "frac_coords": [[0.000, 0.000, 0.000], [0.500, 0.500, 0.500], [0.000, 0.500, 0.000], [0.500, 0.000, 0.000], [0.000, 0.000, 0.500]],
  "raw_formation_energy_ev_per_atom": 0.70,
  "spacegroup": "P4/mmm, No. 123",
  "m_tot_mub_per_cell": 3.589
}

=====

Entry 7:
{
  "formula": "BeNbIr2Os",
  "functional": "GGA-PBEsol",
  "state": "optimized geometry",
  "lattice_angstrom": [[4.025, 0.000, 0.000], [0.000, 4.025, 0.000], [0.000, 0.000, 4.286]],
  "species": ["Be", "Nb", "Ir", "Ir", "Os"],
  "frac_coords": [[0.000, 0.000, 0.000], [0.000, 0.000, 0.500], [0.000, 0.500, 0.000], [0.500, 0.000, 0.000], [0.500, 0.500, 0.500]],
  "spacegroup": "P4/mmm, No. 123",
  "e_form_ev_per_atom": 0.350,
  "m_tot_mub_per_cell": 0.000
}

=====

Entry 8:
{
  "formula": "Mg2FeAg",
  "functional": "GGA-PBEsol",
  "state": "optimized geometry",
  "lattice_angstrom": [[2.875, 0.000, 0.000], [0.000, 2.875, 0.000], [0.000, 0.000, 7.824]],
  "species": ["Mg", "Mg", "Fe", "Ag"],
  "frac_coords": [[0.000, 0.000, 0.235], [0.000, 0.000, 0.765], [0.500, 0.500, 0.000], [0.500, 0.500, 0.500]],
  "spacegroup": "P4/mmm, No. 123",
  "e_form_ev_per_atom": 0.092,
  "m_tot_mub_per_cell": 2.200
}